(1)
Entry from Alexandria via LeMat-Bulk: a geometry-optimized Tm5Tl2Cu structure (PBE-GGA).

Results
VASP energy	-66.22	eV for the cell shown
formation energy	-240	meV per atom
space-group type	Pbam
DOS at the Fermi energy	0.820	states/eV per atom

Cell lengths 4.9028, 6.6814, 12.6208 Å; angles 90.00, 90.00, 90.00 degrees
Fractional positions:
1 Tl 0.5000 0.8613 0.6490
2 Tl 0.5000 0.6387 0.1490
3 Tl 0.5000 0.3613 0.8510
4 Tl 0.5000 0.1387 0.3510
5 Tm 0.5000 0.3252 0.5965
6 Tm 0.0000 0.3940 0.2801
7 Tm 0.0000 0.0000 0.5000
8 Tm 0.5000 0.6748 0.4035
9 Tm 0.5000 0.8252 0.9035
10 Tm 0.0000 0.6060 0.7199
11 Tm 0.0000 0.5000 0.0000
12 Tm 0.0000 0.8940 0.2199
13 Tm 0.5000 0.1748 0.0965
14 Tm 0.0000 0.1060 0.7801
15 Cu 0.0000 0.0000 0.0000
16 Cu 0.0000 0.5000 0.5000

(2)
Entry from Alexandria via LeMat-Bulk: a geometry-optimized Tm3TlCu structure (PBE-GGA).

Results
VASP energy	-41.00	eV for the cell shown
formation energy	-124	meV per atom
space-group type	P6_3/mmc
DOS at the Fermi energy	0.999	states/eV per atom

Cell lengths 4.9561, 7.8200, 7.8200 Å; angles 120.00, 90.00, 90.00 degrees
Fractional positions:
1 Tm 0.7500 0.6285 0.8141
2 Tm 0.2500 0.8141 0.6285
3 Tm 0.2500 0.3715 0.1859
4 Tm 0.7500 0.1859 0.3715
5 Tm 0.2500 0.8142 0.1858
6 Tm 0.7500 0.1858 0.8142
7 Tl 0.2500 0.3335 0.6665
8 Tl 0.7500 0.6665 0.3335
9 Cu 0.0000 0.0000 0.0000
10 Cu 0.5000 0.0000 0.0000

(3)
Entry from Alexandria via LeMat-Bulk: a geometry-optimized Tm8TlCu2 structure (PBE-GGA).

Results
VASP energy	-46.97	eV for the cell shown
formation energy	-58	meV per atom
space-group type	C2/m
DOS at the Fermi energy	1.445	states/eV per atom

Cell lengths 5.2961, 7.9574, 7.9574 Å; angles 114.23, 98.64, 98.64 degrees
Each line ends with the local moment (μB).
Fractional positions:
1 Tm 0.9091 0.9178 0.6659  0.13
2 Tm 0.9091 0.6659 0.9178  0.13
3 Tm 0.5000 0.7594 0.2406  0.10
4 Tm 0.6965 0.3932 0.3932  0.12
5 Tm 0.5000 0.2406 0.7594  0.10
6 Tm 0.0909 0.3341 0.0822  0.13
7 Tm 0.0909 0.0822 0.3341  0.13
8 Tm 0.3035 0.6068 0.6068  0.12
9 Cu 0.0000 0.3067 0.6933  0.02
10 Cu 0.0000 0.6933 0.3067  0.02
11 Tl 0.5000 0.0000 0.0000  0.00

(4)
Entry from Alexandria via LeMat-Bulk: a geometry-optimized TmTlCu2 structure (PBE-GGA).

Results
VASP energy	-15.70	eV for the cell shown
formation energy	-167	meV per atom
space-group type	Fm-3m
DOS at the Fermi energy	0.507	states/eV per atom

Cell lengths 4.6941, 4.6941, 4.6941 Å; angles 60.00, 60.00, 60.00 degrees
Fractional positions:
1 Tl 0.5000 0.5000 0.5000
2 Tm 0.0000 0.0000 0.0000
3 Cu 0.7500 0.7500 0.7500
4 Cu 0.2500 0.2500 0.2500

(5)
Entry from Alexandria via LeMat-Bulk: a geometry-optimized Tm11Tl9Cu4 structure (PBE-GGA).

Results
VASP energy	-94.17	eV for the cell shown
formation energy	-304	meV per atom
space-group type	Cmmm
DOS at the Fermi energy	0.695	states/eV per atom

Cell lengths 3.7016, 13.0466, 13.0466 Å; angles 112.54, 90.00, 90.00 degrees
Fractional positions:
1 Tl 0.5000 0.3700 0.8509
2 Tl 0.5000 0.0679 0.2170
3 Tl 0.5000 0.6300 0.1491
4 Tl 0.5000 0.5000 0.5000
5 Tl 0.5000 0.9321 0.7830
6 Tl 0.5000 0.8509 0.3700
7 Tl 0.5000 0.1491 0.6300
8 Tl 0.5000 0.7830 0.9321
9 Tl 0.5000 0.2170 0.0679
10 Tm 0.0000 0.4176 0.0817
11 Tm 0.0000 0.6925 0.6925
12 Tm 0.0000 0.9183 0.5824
13 Tm 0.0000 0.8381 0.1619
14 Tm 0.0000 0.0000 0.0000
15 Tm 0.0000 0.3075 0.3075
16 Tm 0.0000 0.3716 0.6284
17 Tm 0.0000 0.5824 0.9183
18 Tm 0.0000 0.0817 0.4176
19 Tm 0.0000 0.6284 0.3716
20 Tm 0.0000 0.1619 0.8381
21 Cu 0.5000 0.2543 0.4508
22 Cu 0.5000 0.7457 0.5492
23 Cu 0.5000 0.4508 0.2543
24 Cu 0.5000 0.5492 0.7457

(6)
Entry from Alexandria via LeMat-Bulk: a geometry-optimized TmTl2Cu structure (PBE-GGA).

Results
VASP energy	-13.38	eV for the cell shown
formation energy	-20	meV per atom
space-group type	R-3m
DOS at the Fermi energy	0.377	states/eV per atom

Cell lengths 4.5905, 4.5905, 5.7630 Å; angles 66.53, 66.53, 60.00 degrees
Fractional positions:
1 Cu 0.5000 0.5000 0.5000
2 Tl 0.2287 0.2287 0.3138
3 Tl 0.7713 0.7713 0.6862
4 Tm 0.0000 0.0000 0.0000

(7)
Entry from Alexandria via LeMat-Bulk: a geometry-optimized TmTl2Cu structure (PBE-GGA).

Results
VASP energy	-13.48	eV for the cell shown
formation energy	-44	meV per atom
space-group type	P4/mmm
DOS at the Fermi energy	0.306	states/eV per atom

Cell lengths 4.1980, 4.6773, 4.6773 Å; angles 90.00, 90.00, 90.00 degrees
Fractional positions:
1 Cu 0.5000 0.0000 0.0000
2 Tl 0.0000 0.0000 0.5000
3 Tl 0.0000 0.5000 0.0000
4 Tm 0.5000 0.5000 0.5000

(8)
Entry from Alexandria via LeMat-Bulk: a geometry-optimized Tm12TlCu6 structure (PBE-GGA).

Results
VASP energy	-84.77	eV for the cell shown
formation energy	-219	meV per atom
space-group type	Im-3
DOS at the Fermi energy	0.441	states/eV per atom

Cell lengths 8.4062, 8.4062, 8.4062 Å; angles 109.47, 109.47, 109.47 degrees
Fractional positions:
1 Cu 0.3752 0.5000 0.8752
2 Cu 0.1248 0.6248 0.5000
3 Cu 0.6248 0.5000 0.1248
4 Cu 0.5000 0.1248 0.6248
5 Cu 0.5000 0.8752 0.3752
6 Cu 0.8752 0.3752 0.5000
7 Tm 0.2967 0.4857 0.1889
8 Tm 0.8111 0.7033 0.5143
9 Tm 0.1889 0.2967 0.4857
10 Tm 0.7033 0.5143 0.8111
11 Tm 0.2967 0.1078 0.8111
12 Tm 0.5143 0.8111 0.7033
13 Tm 0.8111 0.2967 0.1078
14 Tm 0.1889 0.7033 0.8922
15 Tm 0.7033 0.8922 0.1889
16 Tm 0.4857 0.1889 0.2967
17 Tm 0.8922 0.1889 0.7033
18 Tm 0.1078 0.8111 0.2967
19 Tl 0.0000 0.0000 0.0000